BaInSeN2: optimized geometry, GGA-PBE.

Lattice parameters (Å, degrees): 4.569 4.569 5.570 90.00 90.00 90.00
Fractional coordinates of all 5 atoms:
Ba1 0.000 0.000 0.000
In1 0.500 0.500 0.500
Se1 0.500 0.500 0.000
N1 0.000 0.500 0.500
N2 0.500 0.000 0.500

Values from the calculation:
Mass density: 5.13 g cm⁻³
Final energy: -4.57 eV/atom
Formation energy without anion corrections: 386.3 meV/atom
Offset from the most stable computed form: 0 meV/atom
Symmetry: No. 123